La2Tl2Ge: optimized geometry, PBE.

It has space group P4/mbm (No. 127), with a = 7.8434 Å, b = 7.8434 Å, c = 4.8960 Å, α = 90.00°, β = 90.00° and γ = 90.00°. The inequivalent atoms are La at (0.1686, 0.3314, 0.0000), Tl at (0.1374, 0.6374, 0.5000) and Ge at (0.0000, 0.0000, 0.5000).

The value obtained for the offset from the most stable computed form is 0.0000 eV per atom. Its energy of formation is -0.344 eV/atom. The calculated volume comes out at 30.12 A^3/atom.

***

LaTl2Ge2: optimized geometry, PBE.

It has space group P4/mbm (No. 127), with a = 8.5046 Å, b = 8.5046 Å, c = 3.6232 Å, α = 90.00°, β = 90.00° and γ = 90.00°. The inequivalent atoms are La at (0.0000, 0.0000, 0.0000), Tl at (0.1267, 0.3733, 0.0000) and Ge at (0.1731, 0.6731, 0.5000).

The value obtained for the offset from the most stable computed form is 0.1426 eV per atom. Its energy of formation is -0.033 eV/atom. The calculated volume comes out at 26.21 A^3/atom.

***

La3TlGe2: optimized geometry, PBE.

It has space group Cmmm (No. 65), with a = 4.6771 Å, b = 16.1753 Å, c = 4.4359 Å, α = 90.00°, β = 90.00° and γ = 90.00°. The inequivalent atoms are La at (0.0000, 0.0000, 0.0000), La at (0.0000, 0.1745, 0.5000), Tl at (0.0000, 0.5000, 0.5000) and Ge at (0.0000, 0.3468, 0.0000).

Its energy of formation is -0.542 eV/atom. The calculated volume comes out at 27.97 A^3/atom.

***

Question: The highest calculated volume belongs to which entry?
Answer: La2Tl2Ge

***

Question: Which formula does entry 3 have?
Answer: La3TlGe2

***

Please write out number 2 again, unchanged.
LaTl2Ge2: optimized geometry, PBE.

It has space group P4/mbm (No. 127), with a = 8.5046 Å, b = 8.5046 Å, c = 3.6232 Å, α = 90.00°, β = 90.00° and γ = 90.00°. The inequivalent atoms are La at (0.0000, 0.0000, 0.0000), Tl at (0.1267, 0.3733, 0.0000) and Ge at (0.1731, 0.6731, 0.5000).

The value obtained for the offset from the most stable computed form is 0.1426 eV per atom. Its energy of formation is -0.033 eV/atom. The calculated volume comes out at 26.21 A^3/atom.